Compound: ZrNbSn3
Source: Alexandria via LeMat-Bulk
Functional: PBE
Structure: relaxed

E_tot: -27.13 eV for the cell shown
polymorph energy (0 for the lowest one): 0.0 meV/atom
DOS(E_F): 1.4311 states/eV/atom
size of the total moment: 0.301 μB/atom
E_form: 700 meV/atom

The structure in POSCAR format:
```
ZrNbSn3
1.0
5.2831 0.0000 0.0000
0.0000 5.2831 0.0000
0.0000 0.0000 5.2831
Zr Nb Sn
1 1 3
Direct
0.0000 0.0000 0.0000
0.5000 0.5000 0.5000
0.0000 0.5000 0.5000
0.5000 0.0000 0.5000
0.5000 0.5000 0.0000
```